Here is an optimized crystal structure of Li2ZrNpN4 from the Alexandria database. Energies are from PBE.

Summary:
Formation energy without anion corrections ... -1048 meV per atom
Symmetry ... P2/m (10)

Unit cell a=5.3770 b=3.3871 c=5.6764 alpha=90.00 beta=108.73 gamma=90.00
Closest atoms and distances in Å follow each position.
Fractional coordinates of all 8 atoms:
Li1 0.0000 0.0000 0.0000  6 N 2.29-2.43
Li2 0.0000 0.5000 0.5000  6 N 2.40-2.47
Zr1 0.5000 0.0000 0.5000  6 N 2.22-2.26
Np1 0.5000 0.5000 0.0000  6 N 2.10-2.21
N1 0.2856 0.0000 0.7748  2 Np 2.21, 1 Zr 2.22, 3 Li 2.29-2.47
N2 0.2892 0.5000 0.2541  1 Np 2.10, 2 Zr 2.26
N3 0.7108 0.5000 0.7459  1 Np 2.10, 2 Zr 2.26
N4 0.7144 0.0000 0.2252  2 Np 2.21, 1 Zr 2.22, 3 Li 2.29-2.47

=====

Here is an optimized crystal structure of TbPmSmEr3 from the Alexandria database. Energies are from PBE.

Summary:
Energy of formation from the pure elements ... 0.197 eV per atom
Symmetry ... C2/m (12)

Unit cell a=10.1950 b=10.1950 c=7.0674 alpha=90.15 beta=90.15 gamma=31.91
Closest atoms and distances in Å follow each position.
Fractional coordinates of all 12 atoms:
Tb1 0.1491 0.1491 0.4589  1 Pm 3.00, 2 Er 3.19-3.28
Tb2 0.8509 0.8509 0.5411  1 Pm 3.00, 2 Er 3.19-3.28
Pm1 0.1471 0.1471 0.0349  1 Tb 3.00, 2 Er 3.17-3.28
Pm2 0.8529 0.8529 0.9651  1 Tb 3.00, 2 Er 3.17-3.28
Sm1 0.4470 0.4470 0.7432  3 Er 3.18-3.29
Sm2 0.5530 0.5530 0.2568  3 Er 3.18-3.29
Er1 0.0237 0.0237 0.7444  1 Pm 3.17, 2 Sm 3.18, 1 Tb 3.19
Er2 0.2792 0.2792 0.7521  3 Pm 3.28-3.49, 3 Tb 3.28-3.47, 1 Sm 3.29, 3 Er 3.58-3.65
Er3 0.3342 0.3342 0.2584  2 Tb 3.46, 2 Pm 3.51, 4 Er 3.58-3.73
Er4 0.6658 0.6658 0.7416  2 Tb 3.46, 2 Pm 3.51, 4 Er 3.58-3.73
Er5 0.7208 0.7208 0.2479  3 Pm 3.28-3.49, 3 Tb 3.28-3.47, 1 Sm 3.29, 3 Er 3.58-3.65
Er6 0.9763 0.9763 0.2556  1 Pm 3.17, 2 Sm 3.18, 1 Tb 3.19

=====

Here is an optimized crystal structure of Tm4Cu from the Alexandria database. Energies are from PBE.

Summary:
Excess energy over the best structure of this formula in the dataset ... 0.60 eV per formula unit
Energy of formation from the pure elements ... 0.134 eV per atom
Symmetry ... Pm-3m (221)

Unit cell a=5.2889 b=5.2889 c=5.2889 alpha=90.00 beta=90.00 gamma=90.00
Closest atoms and distances in Å follow each position.
Fractional coordinates of all 5 atoms:
Tm1 0.0000 0.0000 0.0000  12 Tm 3.74
Tm2 0.0000 0.5000 0.5000  2 Cu 2.64
Tm3 0.5000 0.0000 0.5000  2 Cu 2.64
Tm4 0.5000 0.5000 0.0000  2 Cu 2.64
Cu1 0.5000 0.5000 0.5000  6 Tm 2.64

=====

Here is an optimized crystal structure of Ca2OsPt from the Alexandria database. Energies are from PBE.

Summary:
Excess energy over the best structure of this formula in the dataset ... 2.55 eV per formula unit
Energy of formation from the pure elements ... 0.566 eV per atom
Symmetry ... R3m (160)

Unit cell a=10.3384 b=10.3384 c=10.3384 alpha=17.41 beta=17.41 gamma=17.41
Closest atoms and distances in Å follow each position.
Fractional coordinates of all 4 atoms:
Ca1 0.0000 0.0000 0.0000  3 Os 2.96, 6 Ca 3.13
Ca2 0.2208 0.2208 0.2208  3 Pt 2.96, 6 Ca 3.13
Os1 0.7436 0.7436 0.7436  3 Pt 2.74, 3 Ca 2.96
Pt1 0.4776 0.4776 0.4776  3 Os 2.74, 3 Ca 2.96

=====

Here is an optimized crystal structure of NaCr2SiGe from the Alexandria database. Energies are from PBE.

Summary:
Formation energy without anion corrections ... 786 meV per atom
Symmetry ... P4/mmm (123)

Unit cell a=4.5873 b=4.5873 c=5.0225 alpha=90.00 beta=90.00 gamma=90.00
Closest atoms and distances in Å follow each position.
Fractional coordinates of all 5 atoms:
Na1 0.0000 0.0000 0.0000  2 Si 2.51
Cr1 0.0000 0.5000 0.5000  2 Si 2.29
Cr2 0.5000 0.0000 0.5000  2 Si 2.29
Si1 0.0000 0.0000 0.5000  4 Cr 2.29, 2 Na 2.51
Ge1 0.5000 0.5000 0.0000  4 Na 3.24, 8 Cr 3.40

=====

Here is an optimized crystal structure of TmPa2CrN5 from the Alexandria database. Energies are from PBE.

Summary:
Formation energy without anion corrections ... -1297 meV per atom
Symmetry ... Cmc2_1 (36)

Unit cell a=6.9458 b=6.9458 c=10.0792 alpha=90.00 beta=90.00 gamma=152.21
Closest atoms and distances in Å follow each position.
Fractional coordinates of all 18 atoms:
Tm1 0.2022 0.7978 0.5000  6 N 2.25-2.38
Tm2 0.7978 0.2022 0.0000  6 N 2.25-2.38
Pa1 0.1116 0.8884 0.1833  8 N 2.33-2.59
Pa2 0.1411 0.8589 0.7997  7 N 2.36-2.60
Pa3 0.8589 0.1411 0.2997  7 N 2.36-2.60
Pa4 0.8884 0.1116 0.6833  8 N 2.33-2.59
Cr1 0.4841 0.5159 0.9618  4 N 1.87-2.01
Cr2 0.5159 0.4841 0.4618  4 N 1.87-2.01
N1 0.0354 0.9646 0.5420  2 Cr 1.87
N2 0.2839 0.7161 0.1677  3 Pa 2.33-2.36, 2 Tm 2.38
N3 0.3280 0.6720 0.8483  2 Tm 2.30, 1 Cr 2.40, 3 Pa 2.49-2.57
N4 0.3689 0.6311 0.4975  1 Cr 2.01, 1 Tm 2.25
N5 0.4828 0.5172 0.2778  1 Cr 1.91
N6 0.5172 0.4828 0.7778  1 Cr 1.91
N7 0.6311 0.3689 0.9975  1 Cr 2.01, 1 Tm 2.25
N8 0.6720 0.3280 0.3483  2 Tm 2.30, 1 Cr 2.40, 3 Pa 2.49-2.57
N9 0.7161 0.2839 0.6677  3 Pa 2.33-2.36, 2 Tm 2.38
N10 0.9646 0.0354 0.0420  2 Cr 1.87

=====

Here is an optimized crystal structure of NaIn2PbCl6 from the Alexandria database. Energies are from PBE.

Summary:
Formation energy without anion corrections ... -1105 meV per atom
Symmetry ... P1 (1)

Unit cell a=7.3529 b=7.3575 c=7.9165 alpha=62.33 beta=62.36 gamma=60.04
Closest atoms and distances in Å follow each position.
Fractional coordinates of all 10 atoms:
Na1 0.0000 0.0000 0.0000  6 Cl 2.84-2.97
In1 0.1992 0.1984 0.4034  6 Cl 3.09-3.19
In2 0.6903 0.6896 0.9302  6 Cl 2.80-2.82
Pb1 0.4948 0.4943 0.5166  6 Cl 2.92-2.96
Cl1 0.0814 0.4138 0.7277  1 In 2.81, 1 Pb 2.92, 1 Na 2.97
Cl2 0.2954 0.8689 0.2071  2 In 2.82-3.09, 1 Na 2.84, 1 Pb 2.96
Cl3 0.4138 0.7766 0.7281  1 In 2.81, 1 Pb 2.92, 1 Na 2.97
Cl4 0.6289 0.2946 0.2073  2 In 2.82-3.09, 1 Na 2.84, 1 Pb 2.96
Cl5 0.7770 0.0809 0.7279  1 In 2.80, 1 Pb 2.92, 1 Na 2.96
Cl6 0.8696 0.6284 0.2075  2 In 2.82-3.09, 1 Na 2.84, 1 Pb 2.96

=====

Here is an optimized crystal structure of Mg2Tc from the Alexandria database. Energies are from PBE.

Summary:
Excess energy over the best structure of this formula in the dataset ... 1.11 eV per formula unit
Energy of formation from the pure elements ... 0.376 eV per atom
Symmetry ... P4/mmm (123)

Unit cell a=4.8860 b=4.8860 c=2.7034 alpha=90.00 beta=90.00 gamma=90.00
Closest atoms and distances in Å follow each position.
Fractional coordinates of all 3 atoms:
Mg1 0.0000 0.5000 0.0000  2 Mg 2.70, 4 Tc 2.79
Mg2 0.5000 0.0000 0.0000  2 Mg 2.70, 4 Tc 2.79
Tc1 0.0000 0.0000 0.5000  2 Tc 2.70, 8 Mg 2.79

=====

Number 1: total energy -67.00 eV/cell. Number 2: total energy -53.21 eV/cell. Number 3: total energy -21.31 eV/cell. Number 4: total energy -19.01 eV/cell. Number 5: total energy -26.67 eV/cell. Number 6: total energy -172.77 eV/cell. Number 7: total energy -32.63 eV/cell. Number 8: total energy -12.43 eV/cell.